Record 1
Entry from Alexandria via LeMat-Bulk: crystalline InFe2Te at its relaxed geometry (PBE).

```
data_InFe2Te
_space_group_name_H-M_alt 'C 1 m 1'
_space_group_IT_number 8
_cell_length_a 7.926
_cell_length_b 3.311
_cell_length_c 6.625
_cell_angle_alpha 90.00
_cell_angle_beta 107.46
_cell_angle_gamma 90.00
loop_
_space_group_symop_operation_xyz
'x,y,z'
'x,-y,z'
'x+1/2,y+1/2,z'
'x+1/2,-y+1/2,z'
loop_
_atom_site_label
_atom_site_type_symbol
_atom_site_fract_x
_atom_site_fract_y
_atom_site_fract_z
_atom_site_occupancy
In1 In 0.000 0.000 0.000 1
Fe1 Fe 0.265 0.500 0.231 1
Fe2 Fe 0.499 0.000 0.355 1
Te1 Te 0.260 0.000 0.556 1
```

Spin magnetization: 4.6 μB/f.u.
Polymorph energy (0 for the lowest one): 6.8 kJ/mol of atoms
Uncorrected energy: -0.40034 Ry/atom
Raw formation energy: 254 meV/atom

Record 2
Entry from Alexandria via LeMat-Bulk: crystalline InFeTe2 at its relaxed geometry (PBE).

```
data_InFeTe2
_space_group_name_H-M_alt 'I m m 2'
_space_group_IT_number 44
_cell_length_a 3.233
_cell_length_b 3.406
_cell_length_c 18.405
_cell_angle_alpha 90.00
_cell_angle_beta 90.00
_cell_angle_gamma 90.00
loop_
_space_group_symop_operation_xyz
'x,y,z'
'-x,-y,z'
'-x,y,z'
'x,-y,z'
'x+1/2,y+1/2,z+1/2'
'-x+1/2,-y+1/2,z+1/2'
'-x+1/2,y+1/2,z+1/2'
'x+1/2,-y+1/2,z+1/2'
loop_
_atom_site_label
_atom_site_type_symbol
_atom_site_fract_x
_atom_site_fract_y
_atom_site_fract_z
_atom_site_occupancy
In1 In 0.000 0.000 0.000 1
Fe1 Fe 0.000 0.500 0.263 1
Te1 Te 0.000 0.000 0.653 1
Te2 Te 0.000 0.500 0.830 1
```

Spin magnetization: 1.4 μB/f.u.
Uncorrected energy: -0.31274 Ry/atom
Raw formation energy: 116 meV/atom

Number 1 is which compound? InFe2Te

Among the records above, which one has the highest raw formation energy? InFe2Te